# Mg2ReBi (GGA-PBE, relaxed)
data_Mg2ReBi
_chemical_formula_sum 'Mg8 Re4 Bi4'
_space_group_name_H-M_alt 'I -4 2 d'
_space_group_IT_number 122
_space_group_name_Hall 'I -4 2bw'
_cell_length_a 8.938
_cell_length_b 8.938
_cell_length_c 5.281
_cell_angle_alpha 90.00
_cell_angle_beta 90.00
_cell_angle_gamma 90.00
loop_
_atom_site_label
_atom_site_type_symbol
_atom_site_fract_x
_atom_site_fract_y
_atom_site_fract_z
_atom_site_occupancy
Mg1 Mg 0.148 0.250 0.125 1
Re1 Re 0.000 0.000 0.000 1
Bi1 Bi 0.000 0.000 0.500 1
# formation energy from the elements: 0.800 eV/atom
# volume: 105.5 Å³/f.u.

***

# MgScRe2Bi (GGA-PBE, relaxed)
data_MgScRe2Bi
_chemical_formula_sum 'Mg1 Sc1 Re2 Bi1'
_space_group_name_H-M_alt 'P 4/m m m'
_space_group_IT_number 123
_space_group_name_Hall '-P 4 2'
_cell_length_a 5.044
_cell_length_b 5.044
_cell_length_c 4.983
_cell_angle_alpha 90.00
_cell_angle_beta 90.00
_cell_angle_gamma 90.00
loop_
_atom_site_label
_atom_site_type_symbol
_atom_site_fract_x
_atom_site_fract_y
_atom_site_fract_z
_atom_site_occupancy
Mg1 Mg 0.000 0.000 0.000 1
Sc1 Sc 0.500 0.500 0.000 1
Re1 Re 0.000 0.500 0.500 1
Bi1 Bi 0.000 0.000 0.500 1
# formation energy from the elements: 1.916 eV/atom
# volume: 126.8 Å³/f.u.

***

# Mg2ReBiSe (GGA-PBE, relaxed)
data_Mg2ReBiSe
_chemical_formula_sum 'Mg2 Re1 Bi1 Se1'
_space_group_name_H-M_alt 'P 4/m m m'
_space_group_IT_number 123
_space_group_name_Hall '-P 4 2'
_cell_length_a 4.838
_cell_length_b 4.838
_cell_length_c 5.706
_cell_angle_alpha 90.00
_cell_angle_beta 90.00
_cell_angle_gamma 90.00
loop_
_atom_site_label
_atom_site_type_symbol
_atom_site_fract_x
_atom_site_fract_y
_atom_site_fract_z
_atom_site_occupancy
Mg1 Mg 0.000 0.500 0.000 1
Re1 Re 0.000 0.000 0.500 1
Bi1 Bi 0.500 0.500 0.500 1
Se1 Se 0.500 0.500 0.000 1
# electronic total energy: -3.58 eV per atom
# volume: 133.5 Å³/f.u.

***

# MgReSnBi2 (GGA-PBE, relaxed)
data_MgReSnBi2
_chemical_formula_sum 'Mg1 Re1 Sn1 Bi2'
_space_group_name_H-M_alt 'P 4/m m m'
_space_group_IT_number 123
_space_group_name_Hall '-P 4 2'
_cell_length_a 5.390
_cell_length_b 5.390
_cell_length_c 5.229
_cell_angle_alpha 90.00
_cell_angle_beta 90.00
_cell_angle_gamma 90.00
loop_
_atom_site_label
_atom_site_type_symbol
_atom_site_fract_x
_atom_site_fract_y
_atom_site_fract_z
_atom_site_occupancy
Mg1 Mg 0.000 0.000 0.000 1
Re1 Re 0.500 0.500 0.500 1
Sn1 Sn 0.500 0.500 0.000 1
Bi1 Bi 0.000 0.500 0.500 1
# formation energy from the elements: 0.641 eV/atom
# volume: 151.9 Å³/f.u.

***

# MgReTcBi2 (GGA-PBE, relaxed)
data_MgReTcBi2
_chemical_formula_sum 'Mg1 Re1 Tc1 Bi2'
_space_group_name_H-M_alt 'P 4/m m m'
_space_group_IT_number 123
_space_group_name_Hall '-P 4 2'
_cell_length_a 5.209
_cell_length_b 5.209
_cell_length_c 4.988
_cell_angle_alpha 90.00
_cell_angle_beta 90.00
_cell_angle_gamma 90.00
loop_
_atom_site_label
_atom_site_type_symbol
_atom_site_fract_x
_atom_site_fract_y
_atom_site_fract_z
_atom_site_occupancy
Mg1 Mg 0.000 0.000 0.000 1
Re1 Re 0.500 0.500 0.000 1
Tc1 Tc 0.000 0.000 0.500 1
Bi1 Bi 0.000 0.500 0.500 1
# formation energy from the elements: 1.413 eV/atom
# volume: 135.3 Å³/f.u.

***

# MgZnRe2Bi (GGA-PBE, relaxed)
data_MgZnRe2Bi
_chemical_formula_sum 'Mg1 Zn1 Re2 Bi1'
_space_group_name_H-M_alt 'P 4/m m m'
_space_group_IT_number 123
_space_group_name_Hall '-P 4 2'
_cell_length_a 4.799
_cell_length_b 4.799
_cell_length_c 4.541
_cell_angle_alpha 90.00
_cell_angle_beta 90.00
_cell_angle_gamma 90.00
loop_
_atom_site_label
_atom_site_type_symbol
_atom_site_fract_x
_atom_site_fract_y
_atom_site_fract_z
_atom_site_occupancy
Mg1 Mg 0.000 0.000 0.000 1
Zn1 Zn 0.000 0.000 0.500 1
Re1 Re 0.000 0.500 0.000 1
Bi1 Bi 0.500 0.500 0.500 1
# formation energy from the elements: 1.880 eV/atom
# volume: 104.6 Å³/f.u.

***

| no. | total moment (μB/atom) |
| --- | --- |
| 1 | 0.000 |
| 2 | 0.098 |
| 3 | 0.650 |
| 4 | 0.000 |
| 5 | 0.771 |
| 6 | 0.616 |